La8Nd3In2: relaxed, PBE.

## Properties
* M_tot: 0.000 μB/atom
* D(E_F): 16.649 states/eV per cell
* electronic total energy: -60.70 eV/cell
* SG: No. 2

Cell lengths 6.8940, 8.7679, 8.9492 Å; angles 64.96, 67.92, 78.56 degrees
Atoms (fractional coordinates):
La: 0.1005 0.0184 0.2905
La: 0.1627 0.2092 0.8196
La: 0.1814 0.3917 0.3540
La: 0.2457 0.5864 0.8481
La: 0.7543 0.4136 0.1519
La: 0.8186 0.6083 0.6460
La: 0.8373 0.7908 0.1804
La: 0.8995 0.9816 0.7095
Nd: 0.4228 0.8098 0.0056
Nd: 0.5000 0.0000 0.5000
Nd: 0.5772 0.1902 0.9944
In: 0.3659 0.6604 0.4391
In: 0.6341 0.3396 0.5609

---

LaNd4In2: relaxed, PBE.

## Properties
* M_tot: 0.000 μB/atom
* D(E_F): 17.299 states/eV per cell
* energy above the most stable polymorph in this dataset: 0.000 eV per atom
* SG: No. 14

Cell lengths 5.5875, 12.5729, 6.5596 Å; angles 90.00, 90.04, 90.00 degrees
Atoms (fractional coordinates):
La: 0.0000 0.0000 0.0000
La: 0.0000 0.5000 0.5000
Nd: 0.0022 0.1647 0.5078
Nd: 0.0022 0.3353 0.0078
Nd: 0.4983 0.6668 0.6495
Nd: 0.4983 0.8332 0.1495
Nd: 0.5017 0.1668 0.8505
Nd: 0.5017 0.3332 0.3505
Nd: 0.9978 0.6647 0.9922
Nd: 0.9978 0.8353 0.4922
In: 0.4981 0.5730 0.1820
In: 0.4981 0.9270 0.6820
In: 0.5019 0.0730 0.3180
In: 0.5019 0.4270 0.8180

---

La2NdIn: relaxed, PBE.

## Properties
* M_tot: 0.000 μB/atom
* D(E_F): 4.229 states/eV per cell
* energy above the most stable polymorph in this dataset: 0.068 eV per atom
* SG: No. 123

Cell lengths 3.7294, 3.7294, 9.6670 Å; angles 90.00, 90.00, 90.00 degrees
Atoms (fractional coordinates):
La: 0.0000 0.0000 0.2255
La: 0.0000 0.0000 0.7745
Nd: 0.5000 0.5000 0.5000
In: 0.5000 0.5000 0.0000

---

LaNd6In3: relaxed, PBE.

## Properties
* M_tot: 0.000 μB/atom
* D(E_F): 23.383 states/eV per cell
* energy above the most stable polymorph in this dataset: 0.000 eV per atom
* SG: No. 11

Cell lengths 10.1910, 5.4239, 11.6549 Å; angles 90.00, 101.17, 90.00 degrees
Atoms (fractional coordinates):
La: 0.0444 0.2500 0.4068
La: 0.9556 0.7500 0.5932
Nd: 0.0715 0.7500 0.9099
Nd: 0.1369 0.7500 0.2254
Nd: 0.1847 0.2500 0.7203
Nd: 0.2769 0.7500 0.5196
Nd: 0.3629 0.2500 0.3082
Nd: 0.4541 0.7500 0.0960
Nd: 0.5459 0.2500 0.9040
Nd: 0.6371 0.7500 0.6918
Nd: 0.7231 0.2500 0.4804
Nd: 0.8153 0.7500 0.2797
Nd: 0.8631 0.2500 0.7746
Nd: 0.9285 0.2500 0.0901
In: 0.2428 0.2500 0.0229
In: 0.3566 0.7500 0.8080
In: 0.4577 0.2500 0.6068
In: 0.5423 0.7500 0.3932
In: 0.6434 0.2500 0.1920
In: 0.7572 0.7500 0.9771

---

La3Nd3In2: relaxed, PBE.

## Properties
* M_tot: 0.243 μB/atom
* D(E_F): 11.629 states/eV per cell
* energy above the most stable polymorph in this dataset: 0.000 eV per atom
* SG: No. 155

Cell lengths 6.3985, 6.3985, 6.3985 Å; angles 90.01, 90.01, 90.01 degrees
Atoms (fractional coordinates):
La: 0.0000 0.2518 0.7482
La: 0.2518 0.7482 0.0000
La: 0.7482 0.0000 0.2518
Nd: 0.2530 0.7470 0.5000
Nd: 0.5000 0.2530 0.7470
Nd: 0.7470 0.5000 0.2530
In: 0.2517 0.2517 0.2517
In: 0.7483 0.7483 0.7483

---

La6NdIn3: relaxed, PBE.

## Properties
* M_tot: 0.000 μB/atom
* D(E_F): 26.074 states/eV per cell
* electronic total energy: -89.91 eV/cell
* SG: No. 36

Cell lengths 10.0066, 10.0066, 6.7682 Å; angles 90.00, 90.00, 96.43 degrees
Atoms (fractional coordinates):
La: 0.0030 0.4344 0.9290
La: 0.0744 0.9256 0.5000
La: 0.2645 0.2919 0.2238
La: 0.2919 0.2645 0.7238
La: 0.3052 0.6948 0.7393
La: 0.4344 0.0030 0.4290
La: 0.5656 0.9970 0.9290
La: 0.6948 0.3052 0.2393
La: 0.7081 0.7355 0.2238
La: 0.7355 0.7081 0.7238
La: 0.9256 0.0744 0.0000
La: 0.9970 0.5656 0.4290
Nd: 0.3088 0.6912 0.2075
Nd: 0.6912 0.3088 0.7075
In: 0.0168 0.7598 0.9930
In: 0.2402 0.9832 0.9930
In: 0.4954 0.5046 0.4737
In: 0.5046 0.4954 0.9737
In: 0.7598 0.0168 0.4930
In: 0.9832 0.2402 0.4930

---

La8NdIn2: relaxed, PBE.

## Properties
* M_tot: 0.000 μB/atom
* D(E_F): 15.844 states/eV per cell
* energy above the most stable polymorph in this dataset: 0.000 eV per atom
* SG: No. 71

Cell lengths 9.4951, 9.4951, 9.4951 Å; angles 147.50, 122.14, 67.95 degrees
Atoms (fractional coordinates):
La: 0.1274 0.3407 0.7867
La: 0.1511 0.1511 0.0000
La: 0.3301 0.0000 0.3301
La: 0.4460 0.6593 0.7867
La: 0.5540 0.3407 0.2133
La: 0.6699 0.0000 0.6699
La: 0.8489 0.8489 0.0000
La: 0.8726 0.6593 0.2133
Nd: 0.0000 0.5000 0.5000
In: 0.3016 0.8016 0.5000
In: 0.6984 0.1984 0.5000

---

La8Nd6In: relaxed, PBE.

## Properties
* M_tot: 0.000 μB/atom
* D(E_F): 22.070 states/eV per cell
* electronic total energy: -70.13 eV/cell
* SG: No. 147

Cell lengths 9.4884, 9.4884, 6.8225 Å; angles 90.00, 90.00, 120.00 degrees
Atoms (fractional coordinates):
La: 0.0452 0.7707 0.1738
La: 0.2293 0.2745 0.1738
La: 0.2745 0.0452 0.8262
La: 0.3333 0.6667 0.1234
La: 0.6667 0.3333 0.8766
La: 0.7255 0.9548 0.1738
La: 0.7707 0.7255 0.8262
La: 0.9548 0.2293 0.8262
Nd: 0.0940 0.6545 0.6577
Nd: 0.3455 0.4395 0.6577
Nd: 0.4395 0.0940 0.3423
Nd: 0.5605 0.9060 0.6577
Nd: 0.6545 0.5605 0.3423
Nd: 0.9060 0.3455 0.3423
In: 0.0000 0.0000 0.5000

---

La4Nd15In: relaxed, PBE.

## Properties
* M_tot: 0.000 μB/atom
* D(E_F): 27.524 states/eV per cell
* electronic total energy: -94.66 eV/cell
* SG: No. 123

Cell lengths 5.1536, 5.1536, 26.1644 Å; angles 90.00, 90.00, 90.00 degrees
Atoms (fractional coordinates):
La: 0.0000 0.0000 0.1009
La: 0.0000 0.0000 0.3031
La: 0.0000 0.0000 0.6969
La: 0.0000 0.0000 0.8991
Nd: 0.0000 0.5000 0.0000
Nd: 0.0000 0.5000 0.2027
Nd: 0.0000 0.5000 0.4056
Nd: 0.0000 0.5000 0.5944
Nd: 0.0000 0.5000 0.7973
Nd: 0.5000 0.0000 0.0000
Nd: 0.5000 0.0000 0.2027
Nd: 0.5000 0.0000 0.4056
Nd: 0.5000 0.0000 0.5944
Nd: 0.5000 0.0000 0.7973
Nd: 0.5000 0.5000 0.1017
Nd: 0.5000 0.5000 0.3053
Nd: 0.5000 0.5000 0.5000
Nd: 0.5000 0.5000 0.6947
Nd: 0.5000 0.5000 0.8983
In: 0.0000 0.0000 0.5000

---

LaNd2In2: relaxed, PBE.

## Properties
* M_tot: 0.000 μB/atom
* D(E_F): 10.292 states/eV per cell
* energy above the most stable polymorph in this dataset: 0.086 eV per atom
* SG: No. 11

Cell lengths 7.0236, 5.2595, 9.4116 Å; angles 90.00, 111.83, 90.00 degrees
Atoms (fractional coordinates):
La: 0.0876 0.2500 0.1714
La: 0.9124 0.7500 0.8286
Nd: 0.2692 0.7500 0.5402
Nd: 0.4518 0.7500 0.9063
Nd: 0.5482 0.2500 0.0937
Nd: 0.7308 0.2500 0.4598
In: 0.1576 0.2500 0.7511
In: 0.4105 0.7500 0.2513
In: 0.5895 0.2500 0.7487
In: 0.8424 0.7500 0.2489

---

LaNd6In5: relaxed, PBE.

## Properties
* M_tot: 0.000 μB/atom
* D(E_F): 12.719 states/eV per cell
* electronic total energy: -51.94 eV/cell
* SG: No. 71

Cell lengths 9.3301, 9.3301, 9.3301 Å; angles 148.08, 121.68, 68.04 degrees
Atoms (fractional coordinates):
La: 0.0000 0.0000 0.0000
Nd: 0.0925 0.8288 0.2636
Nd: 0.2724 0.5000 0.7724
Nd: 0.4348 0.1712 0.2636
Nd: 0.5652 0.8288 0.7364
Nd: 0.7276 0.5000 0.2276
Nd: 0.9075 0.1712 0.7364
In: 0.1548 0.6548 0.5000
In: 0.3239 0.3239 0.0000
In: 0.5000 0.0000 0.5000
In: 0.6761 0.6761 0.0000
In: 0.8452 0.3452 0.5000

---

LaNdIn6: relaxed, PBE.

## Properties
* M_tot: 0.000 μB/atom
* D(E_F): 4.546 states/eV per cell
* energy above the most stable polymorph in this dataset: 0.000 eV per atom
* SG: No. 123

Cell lengths 4.7538, 4.7538, 9.5014 Å; angles 90.00, 90.00, 90.00 degrees
Atoms (fractional coordinates):
La: 0.0000 0.0000 0.0000
Nd: 0.0000 0.0000 0.5000
In: 0.0000 0.5000 0.2527
In: 0.0000 0.5000 0.7473
In: 0.5000 0.0000 0.2527
In: 0.5000 0.0000 0.7473
In: 0.5000 0.5000 0.0000
In: 0.5000 0.5000 0.5000